*w*
Compound: Y2Cd2Sb
Source: the Alexandria database
Functional: GGA-PBE
Structure: optimized geometry

The structure in POSCAR format:
```
Y2Cd2Sb
1.0
-1.996 1.996 8.794
1.996 -1.996 8.794
1.996 1.996 -8.794
Y Cd Sb
2 2 1
Cartesian
0.000 0.000 1.689
0.000 0.000 15.899
1.996 0.000 4.397
0.000 1.996 4.397
0.000 0.000 8.794
```

*x*
Compound: Y2Cd2Sb
Source: the Alexandria database
Functional: GGA-PBE
Structure: optimized geometry

The structure in POSCAR format:
```
Y2Cd2Sb
1.0
7.950 0.000 0.000
0.000 7.950 0.000
0.000 0.000 4.665
Y Cd Sb
4 4 2
Cartesian
1.291 2.683 0.000
2.683 6.658 0.000
5.266 1.291 0.000
6.658 5.266 0.000
1.086 5.061 2.333
2.889 1.086 2.333
5.061 6.863 2.333
6.863 2.889 2.333
0.000 0.000 0.000
3.975 3.975 0.000
```

What should be chosen as the least stable of them? Choose *x*.

*w*
Compound: YCd2Sb2
Source: the Alexandria database
Functional: GGA-PBE
Structure: optimized geometry

The structure in POSCAR format:
```
YCd2Sb2
1.0
-2.389 2.389 6.227
2.389 -2.389 6.227
2.389 2.389 -6.227
Y Cd Sb
1 2 2
Cartesian
0.000 0.000 0.000
0.000 0.000 4.912
0.000 0.000 7.543
2.389 0.000 3.114
0.000 2.389 3.114
```

*x*
Compound: YCd2Sb2
Source: the Alexandria database
Functional: GGA-PBE
Structure: optimized geometry

The structure in POSCAR format:
```
YCd2Sb2
1.0
-2.051 2.051 8.476
2.051 -2.051 8.476
2.051 2.051 -8.476
Y Cd Sb
1 2 2
Cartesian
0.000 0.000 0.000
2.051 0.000 4.238
0.000 2.051 4.238
0.000 0.000 6.992
0.000 0.000 9.961
```

What should be chosen as the least stable of them? Choose *w*.

*w*
Compound: ZnCdSb2
Source: the Alexandria database
Functional: GGA-PBE
Structure: optimized geometry

The structure in POSCAR format:
```
ZnCdSb2
1.0
1.999 -2.582 0.000
1.999 2.582 0.000
0.000 0.000 9.292
Zn Cd Sb
1 1 2
Cartesian
0.000 0.000 0.000
1.999 0.000 7.322
0.000 0.000 4.876
1.999 0.000 2.075
```

*x*
Compound: ZnCdSb2
Source: the Alexandria database
Functional: GGA-PBE
Structure: optimized geometry

The structure in POSCAR format:
```
ZnCdSb2
1.0
3.745 0.000 0.000
0.000 3.745 0.000
0.000 0.000 7.397
Zn Cd Sb
1 1 2
Cartesian
0.000 0.000 0.000
1.872 1.872 1.601
0.000 0.000 3.019
1.872 1.872 6.096
```

*y*
Compound: ZnCdSb2
Source: the Alexandria database
Functional: GGA-PBE
Structure: optimized geometry

The structure in POSCAR format:
```
ZnCdSb2
1.0
3.250 0.000 0.000
0.000 4.615 0.000
-0.846 0.000 6.929
Zn Cd Sb
1 1 2
Cartesian
0.000 0.000 0.000
0.781 2.308 5.758
0.287 0.000 4.105
3.055 2.308 1.559
```

*z*
Compound: ZnCdSb2
Source: the Alexandria database
Functional: GGA-PBE
Structure: optimized geometry

The structure in POSCAR format:
```
ZnCdSb2
1.0
-3.277 3.277 5.845
3.277 -3.277 5.845
3.277 3.277 -5.845
Zn Cd Sb
2 2 4
Cartesian
0.000 0.000 0.000
0.000 3.277 2.923
3.277 0.000 2.923
0.000 0.000 5.845
4.915 1.460 -1.461
1.460 1.638 1.461
-1.638 1.817 4.384
1.817 1.638 7.307
```

What should be chosen as the least stable of them? Choose *w*.